Tm7Zn2Ir2, relaxed, DFT PBE; space-group type = Cmmm (65); V = 288 Å³ per cell; energy of formation = -0.39 eV per atom
1.0
-1.832 -4.111 4.806
5.720 1.636 3.579
-2.592 5.874 1.458
Tm Zn Ir
7 2 2
direct
0.000 0.742 0.500
0.500 0.252 0.500
0.000 0.258 0.500
0.000 0.000 0.000
0.500 0.258 0.000
0.500 0.742 0.000
0.500 0.748 0.500
0.171 0.500 0.171
0.829 0.500 0.829
0.712 0.000 0.288
0.288 0.000 0.712